(1)
Material: AcHo3In4
Method: DFT, PBE-GGA
State: optimized geometry

a b c (Å): 5.610 7.413 10.926
angles (deg): 90.00 90.00 90.00
Fractional positions:
In: 0.910 0.229 0.250
In: 0.500 0.771 0.000
In: 0.500 0.229 0.000
In: 0.090 0.229 0.750
In: 0.500 0.771 0.500
In: 0.500 0.229 0.500
In: 0.090 0.771 0.750
In: 0.910 0.771 0.250
Ho: 0.588 0.000 0.750
Ho: 0.000 0.000 0.500
Ho: 0.443 0.500 0.250
Ho: 0.557 0.500 0.750
Ho: 0.000 0.000 0.000
Ho: 0.412 0.000 0.250
Ac: 0.000 0.500 0.000
Ac: 0.000 0.500 0.500

mass density = 8.6 g cm⁻³
symmetry = Pmma (51)
electronic total energy = -0.148 Ha/atom
formation enthalpy at 0 K = -0.42 eV per atom

(2)
Material: Ac2HoIn3
Method: DFT, PBE-GGA
State: optimized geometry

a b c (Å): 3.958 3.958 12.134
angles (deg): 90.00 90.00 90.00
Fractional positions:
Ac: 0.500 0.500 0.177
Ac: 0.500 0.500 0.823
In: 0.000 0.000 0.639
In: 0.000 0.000 0.000
In: 0.000 0.000 0.361
Ho: 0.500 0.500 0.500

excess energy over the best structure of this formula in the dataset = 0 meV per atom
mass density = 8.4 g cm⁻³
symmetry = P4/mmm (123)
electronic total energy = -0.144 Ha/atom
formation enthalpy at 0 K = -0.43 eV per atom

(3)
Material: Ac2HoIn
Method: DFT, PBE-GGA
State: optimized geometry

a b c (Å): 5.174 5.206 5.206
angles (deg): 90.00 90.00 90.00
Fractional positions:
Ho: 0.500 0.500 0.500
Ac: 0.000 0.000 0.500
Ac: 0.000 0.500 0.000
In: 0.500 0.000 0.000

excess energy over the best structure of this formula in the dataset = 0 meV per atom
mass density = 8.7 g cm⁻³
symmetry = P4/mmm (123)
electronic total energy = -0.148 Ha/atom
formation enthalpy at 0 K = -0.16 eV per atom

(4)
Material: Ac3HoIn
Method: DFT, PBE-GGA
State: optimized geometry

a b c (Å): 5.280 5.268 13.550
angles (deg): 90.00 78.77 90.00
Fractional positions:
In: 0.978 0.250 0.692
In: 0.670 0.750 0.308
Ac: 0.383 0.250 0.882
Ac: 0.881 0.750 0.887
Ac: 0.265 0.750 0.118
Ac: 0.074 0.750 0.499
Ac: 0.768 0.250 0.113
Ac: 0.574 0.250 0.501
Ho: 0.477 0.750 0.694
Ho: 0.171 0.250 0.306

mass density = 8.6 g cm⁻³
symmetry = Cmcm (63)
electronic total energy = -0.148 Ha/atom
formation enthalpy at 0 K = -0.10 eV per atom

(5)
Material: AcHo2In3
Method: DFT, PBE-GGA
State: optimized geometry

a b c (Å): 3.840 3.840 11.734
angles (deg): 90.00 90.00 90.00
Fractional positions:
In: 0.000 0.000 0.306
In: 0.000 0.000 0.000
In: 0.000 0.000 0.694
Ho: 0.500 0.500 0.845
Ho: 0.500 0.500 0.155
Ac: 0.500 0.500 0.500

mass density = 8.7 g cm⁻³
symmetry = P4/mmm (123)
electronic total energy = -0.148 Ha/atom
formation enthalpy at 0 K = -0.44 eV per atom

(6)
Material: Ac2Ho2In3
Method: DFT, PBE-GGA
State: optimized geometry

a b c (Å): 4.722 3.584 13.276
angles (deg): 90.00 79.76 90.00
Fractional positions:
Ho: 0.293 0.500 0.414
Ho: 0.707 0.500 0.586
Ac: 0.423 0.500 0.153
Ac: 0.577 0.500 0.847
In: 0.163 0.000 0.674
In: 0.837 0.000 0.326
In: 0.000 0.000 0.000

mass density = 8.5 g cm⁻³
symmetry = Cmmm (65)
electronic total energy = -0.144 Ha/atom
formation enthalpy at 0 K = -0.27 eV per atom

(7)
Material: AcHo2In6
Method: DFT, PBE-GGA
State: optimized geometry

a b c (Å): 3.633 8.811 8.811
angles (deg): 120.00 90.00 90.00
Fractional positions:
Ho: 0.000 0.667 0.333
Ho: 0.000 0.333 0.667
In: 0.500 0.339 0.339
In: 0.500 0.661 0.661
In: 0.500 0.339 0.000
In: 0.500 0.000 0.339
In: 0.500 0.000 0.661
In: 0.500 0.661 0.000
Ac: 0.000 0.000 0.000

mass density = 8.5 g cm⁻³
symmetry = P6/mmm (191)
electronic total energy = -0.135 Ha/atom
formation enthalpy at 0 K = -0.37 eV per atom

(8)
Material: AcHoIn2
Method: DFT, PBE-GGA
State: optimized geometry

a b c (Å): 4.482 5.242 5.242
angles (deg): 90.00 90.00 90.00
Fractional positions:
In: 0.000 0.500 0.000
In: 0.000 0.000 0.500
Ho: 0.500 0.500 0.500
Ac: 0.500 0.000 0.000

mass density = 8.4 g cm⁻³
symmetry = P4/mmm (123)
electronic total energy = -0.143 Ha/atom
formation enthalpy at 0 K = -0.35 eV per atom

(9)
Material: AcHoIn2
Method: DFT, PBE-GGA
State: optimized geometry

a b c (Å): 3.857 3.857 10.313
angles (deg): 79.22 79.22 60.00
Fractional positions:
In: 0.256 0.256 0.231
In: 0.744 0.744 0.769
Ho: 0.000 0.000 0.000
Ac: 0.500 0.500 0.500

mass density = 8.0 g cm⁻³
symmetry = R-3m (166)
electronic total energy = -0.139 Ha/atom
formation enthalpy at 0 K = -0.25 eV per atom

(10)
Material: Ac2HoIn
Method: DFT, PBE-GGA
State: optimized geometry

a b c (Å): 3.767 3.767 13.050
angles (deg): 81.70 81.70 60.00
Fractional positions:
Ac: 0.089 0.089 0.732
Ac: 0.911 0.911 0.268
Ho: 0.500 0.500 0.500
In: 0.000 0.000 0.000

excess energy over the best structure of this formula in the dataset = 318 meV per atom
mass density = 7.7 g cm⁻³
symmetry = R-3m (166)
electronic total energy = -0.137 Ha/atom
formation enthalpy at 0 K = 0.16 eV per atom

(11)
Material: AcHo12In3
Method: DFT, PBE-GGA
State: optimized geometry

a b c (Å): 4.872 4.872 19.914
angles (deg): 90.00 90.00 90.00
Fractional positions:
Ho: 0.000 0.500 0.863
Ho: 0.000 0.500 0.621
Ho: 0.500 0.500 0.259
Ho: 0.500 0.500 0.500
Ho: 0.500 0.000 0.863
Ho: 0.500 0.500 0.000
Ho: 0.500 0.000 0.379
Ho: 0.000 0.500 0.137
Ho: 0.000 0.500 0.379
Ho: 0.500 0.000 0.621
Ho: 0.500 0.000 0.137
Ho: 0.500 0.500 0.741
In: 0.000 0.000 0.741
In: 0.000 0.000 0.259
In: 0.000 0.000 0.500
Ac: 0.000 0.000 0.000

mass density = 9.0 g cm⁻³
symmetry = P4/mmm (123)
electronic total energy = -0.160 Ha/atom
formation enthalpy at 0 K = -0.16 eV per atom

(12)
Material: Ac14HoIn
Method: DFT, PBE-GGA
State: optimized geometry

a b c (Å): 7.803 7.803 11.130
angles (deg): 90.00 90.00 89.99
Fractional positions:
Ac: 0.124 0.876 0.241
Ac: 0.874 0.624 0.000
Ac: 0.626 0.876 0.759
Ac: 0.626 0.374 0.758
Ac: 0.375 0.625 0.500
Ac: 0.875 0.625 0.500
Ac: 0.626 0.876 0.241
Ac: 0.626 0.374 0.242
Ac: 0.124 0.374 0.759
Ac: 0.124 0.876 0.759
Ac: 0.124 0.374 0.241
Ac: 0.875 0.125 0.500
Ac: 0.376 0.126 0.000
Ac: 0.375 0.125 0.500
In: 0.875 0.125 0.000
Ho: 0.375 0.625 0.000

mass density = 8.5 g cm⁻³
symmetry = Amm2 (38)
electronic total energy = -0.150 Ha/atom
formation enthalpy at 0 K = -0.02 eV per atom